Record 1
First-principles (GGA-PBE) data for a relaxed TcIrC2 crystal, as listed in the Alexandria database.

For the final energy, the calculation gives -8.893 eV per atom. The total magnetization comes out at 0.00 μB/f.u. The value obtained for the polymorph energy (0 for the lowest one) is 0 meV per atom. As for the space-group type: I-42d (122).

Cell lengths 4.6371, 4.6371, 5.6442 Å; angles 65.75, 65.75, 90.00 degrees
Atoms (fractional coordinates):
Ir  0.0000  0.0000  0.0000
Ir  0.7500  0.2500  0.5000
Tc  0.5000  0.5000  0.0000
Tc  0.2500  0.7500  0.5000
C  0.8750  0.8715  0.7500
C  0.6215  0.1250  0.2500
C  0.1285  0.6250  0.2500
C  0.3750  0.3785  0.7500

---

Record 2
First-principles (GGA-PBE) data for a relaxed CeHo2Pb crystal, as listed in the Alexandria database.

For the final energy, the calculation gives -4.842 eV per atom. The total magnetization comes out at 0.81 μB/f.u. The value obtained for the polymorph energy (0 for the lowest one) is 107 meV per atom. As for the space-group type: P4/mmm (123).

Cell lengths 3.8488, 3.8488, 7.8556 Å; angles 90.00, 90.00, 90.00 degrees
Each line ends with the local moment (μB).
Atoms (fractional coordinates):
Ho  0.0000  0.0000  0.7696  0.04
Ho  0.0000  0.0000  0.2304  0.04
Ce  0.5000  0.5000  0.5000  0.54
Pb  0.5000  0.5000  0.0000  0.01

---

Record 3
First-principles (GGA-PBE) data for a relaxed ZnOs4Ru crystal, as listed in the Alexandria database.

For the final energy, the calculation gives -8.443 eV per atom. The total magnetization comes out at 0.63 μB/f.u. As for the space-group type: F-43m (216).

Cell lengths 5.1150, 5.1150, 5.1150 Å; angles 60.00, 60.00, 60.00 degrees
Each line ends with the local moment (μB).
Atoms (fractional coordinates):
Os  0.3751  0.8747  0.3751  0.06
Os  0.8747  0.3751  0.3751  0.06
Os  0.3751  0.3751  0.3751  0.06
Os  0.3751  0.3751  0.8747  0.06
Ru  0.7500  0.7500  0.7500  0.36
Zn  0.0000  0.0000  0.0000  0.00